## Tm2AlZn (GGA-PBE)

Data for an optimized crystal structure of Tm2AlZn.

a b c (Å): 5.0065 5.0065 5.0065
angles (deg): 60.00 60.00 60.00
Closest atoms and distances in Å follow each position.
Positions (direct):
1 Zn 0.5000 0.5000 0.5000  8 Tm 3.07
2 Tm 0.2500 0.2500 0.2500  4 Al 3.07, 4 Zn 3.07
3 Tm 0.7500 0.7500 0.7500  4 Zn 3.07, 4 Al 3.07
4 Al 0.0000 0.0000 0.0000  8 Tm 3.07

## Properties
ΔH_f (0 K)	-373	meV/atom
total magnetic moment	0.000	μB/atom
E above lowest polymorph	0.010	eV per atom